Here is CrAs after structural relaxation from the Alexandria database. Energies are from PBE.

Results
Crystal system ... trigonal
Theoretical density ... 6.23 g cm⁻³
Total energy ... -6.98 eV/atom
Magnetization ... 0.00 μB/f.u.

Geometry as CIF:
```
data_CrAs
_chemical_formula_sum 'Cr2 As2'
_cell_length_a 2.8298
_cell_length_b 2.8298
_cell_length_c 9.7562
_cell_angle_alpha 90.00
_cell_angle_beta 90.00
_cell_angle_gamma 120.00
_symmetry_space_group_name_H-M 'P -3 m 1'
_symmetry_Int_Tables_number 164
_symmetry_space_group_name_Hall '-P 3 2"'
loop_
_atom_site_label
_atom_site_fract_x
_atom_site_fract_y
_atom_site_fract_z
_atom_site_occupancy
Cr1 0.3333 0.6667 0.0889 1
As1 0.3333 0.6667 0.7060 1
```

***

Here is CrAs4 after structural relaxation from the Alexandria database. Energies are from PBE.

Results
Crystal system ... tetragonal
Theoretical density ... 5.46 g cm⁻³
Total energy ... -5.21 eV/atom
Magnetization ... 4.14 μB/f.u.

Geometry as CIF:
```
data_CrAs4
_chemical_formula_sum 'Cr2 As8'
_cell_length_a 5.179
_cell_length_b 5.179
_cell_length_c 7.973
_cell_angle_alpha 90.00
_cell_angle_beta 90.00
_cell_angle_gamma 90.00
_symmetry_space_group_name_H-M 'I 4/m m m'
_symmetry_Int_Tables_number 139
_symmetry_space_group_name_Hall '-I 4 2'
loop_
_atom_site_label
_atom_site_fract_x
_atom_site_fract_y
_atom_site_fract_z
_atom_site_occupancy
Cr1 0.000 0.000 0.000 1
As1 0.000 0.000 0.327 1
As2 0.000 0.500 0.250 1
```

***

Here is Cr2As after structural relaxation from the Alexandria database. Energies are from PBE.

Results
Crystal system ... orthorhombic
Theoretical density ... 7.68 g cm⁻³
Total energy ... -7.95 eV/atom
Magnetization ... 0.00 μB/f.u.

Geometry as CIF:
```
data_Cr2As
_chemical_formula_sum 'Cr8 As4'
_cell_length_a 7.177
_cell_length_b 4.971
_cell_length_c 4.336
_cell_angle_alpha 90.00
_cell_angle_beta 90.00
_cell_angle_gamma 90.00
_symmetry_space_group_name_H-M 'C m c m'
_symmetry_Int_Tables_number 63
_symmetry_space_group_name_Hall '-C 2c 2'
loop_
_atom_site_label
_atom_site_fract_x
_atom_site_fract_y
_atom_site_fract_z
_atom_site_occupancy
Cr1 0.163 0.171 0.250 1
As1 0.000 0.294 0.750 1
```

***

Here is CrAs5 after structural relaxation from the Alexandria database. Energies are from PBE.

Results
Crystal system ... monoclinic
E above lowest polymorph ... 0.00 eV/f.u.
Theoretical density ... 5.54 g cm⁻³
Total energy ... -5.30 eV/atom
Magnetization ... 0.00 μB/f.u.

Geometry as CIF:
```
data_CrAs5
_chemical_formula_sum 'Cr2 As10'
_cell_length_a 10.133
_cell_length_b 3.281
_cell_length_c 7.806
_cell_angle_alpha 90.00
_cell_angle_beta 99.63
_cell_angle_gamma 90.00
_symmetry_space_group_name_H-M 'C 1 m 1'
_symmetry_Int_Tables_number 8
_symmetry_space_group_name_Hall 'C -2y'
loop_
_atom_site_label
_atom_site_fract_x
_atom_site_fract_y
_atom_site_fract_z
_atom_site_occupancy
Cr1 0.000 0.000 0.000 1
As1 0.070 0.500 0.792 1
As2 0.146 0.500 0.242 1
As3 0.314 0.000 0.998 1
As4 0.332 0.000 0.688 1
As5 0.489 0.500 0.321 1
```

***

Here is CrAs after structural relaxation from the Alexandria database. Energies are from PBE.

Results
Crystal system ... tetragonal
Theoretical density ... 5.12 g cm⁻³
Total energy ... -6.84 eV/atom
Magnetization ... 0.00 μB/f.u.

Geometry as CIF:
```
data_CrAs
_chemical_formula_sum 'Cr8 As8'
_cell_length_a 10.471
_cell_length_b 10.471
_cell_length_c 3.004
_cell_angle_alpha 90.00
_cell_angle_beta 90.00
_cell_angle_gamma 90.00
_symmetry_space_group_name_H-M 'I 4/m'
_symmetry_Int_Tables_number 87
_symmetry_space_group_name_Hall '-I 4'
loop_
_atom_site_label
_atom_site_fract_x
_atom_site_fract_y
_atom_site_fract_z
_atom_site_occupancy
Cr1 0.171 0.726 0.000 1
As1 0.057 0.259 0.000 1
```

***

Here is CrAs after structural relaxation from the Alexandria database. Energies are from PBE.

Results
Crystal system ... cubic
Theoretical density ... 7.70 g cm⁻³
Total energy ... -7.05 eV/atom
Magnetization ... 1.23 μB/f.u.

Geometry as CIF:
```
data_CrAs
_chemical_formula_sum 'Cr1 As1'
_cell_length_a 3.013
_cell_length_b 3.013
_cell_length_c 3.013
_cell_angle_alpha 90.00
_cell_angle_beta 90.00
_cell_angle_gamma 90.00
_symmetry_space_group_name_H-M 'P m -3 m'
_symmetry_Int_Tables_number 221
_symmetry_space_group_name_Hall '-P 4 2 3'
loop_
_atom_site_label
_atom_site_fract_x
_atom_site_fract_y
_atom_site_fract_z
_atom_site_occupancy
Cr1 0.000 0.000 0.000 1
As1 0.500 0.500 0.500 1
```

***

Here is CrAs after structural relaxation from the Alexandria database. Energies are from PBE.

Results
Crystal system ... trigonal
Theoretical density ... 4.66 g cm⁻³
Total energy ... -6.90 eV/atom
Magnetization ... 3.00 μB/f.u.

Geometry as CIF:
```
data_CrAs
_chemical_formula_sum 'Cr6 As6'
_cell_length_a 4.1299
_cell_length_b 4.1299
_cell_length_c 18.3694
_cell_angle_alpha 90.00
_cell_angle_beta 90.00
_cell_angle_gamma 120.00
_symmetry_space_group_name_H-M 'R -3 m'
_symmetry_Int_Tables_number 166
_symmetry_space_group_name_Hall '-R 3 2"'
loop_
_atom_site_label
_atom_site_fract_x
_atom_site_fract_y
_atom_site_fract_z
_atom_site_occupancy
Cr1 0.0000 0.0000 0.1149 1
As1 0.0000 0.0000 0.2503 1
```

***

Here is CrAs after structural relaxation from the Alexandria database. Energies are from PBE.

Results
Crystal system ... hexagonal
Theoretical density ... 5.17 g cm⁻³
Total energy ... -7.06 eV/atom
Magnetization ... 2.97 μB/f.u.

Geometry as CIF:
```
data_CrAs
_chemical_formula_sum 'Cr2 As2'
_cell_length_a 4.3335
_cell_length_b 4.3335
_cell_length_c 5.0176
_cell_angle_alpha 90.00
_cell_angle_beta 90.00
_cell_angle_gamma 120.00
_symmetry_space_group_name_H-M 'P 63/m m c'
_symmetry_Int_Tables_number 194
_symmetry_space_group_name_Hall '-P 6c 2c'
loop_
_atom_site_label
_atom_site_fract_x
_atom_site_fract_y
_atom_site_fract_z
_atom_site_occupancy
Cr1 0.3333 0.6667 0.2500 1
As1 0.3333 0.6667 0.7500 1
```

***

Here is CrAs5 after structural relaxation from the Alexandria database. Energies are from PBE.

Results
Crystal system ... tetragonal
E above lowest polymorph ... 0.78 eV/f.u.
Theoretical density ... 6.79 g cm⁻³
Total energy ... -5.17 eV/atom
Magnetization ... 0.35 μB/f.u.

Geometry as CIF:
```
data_CrAs5
_chemical_formula_sum 'Cr1 As5'
_cell_length_a 3.163
_cell_length_b 3.163
_cell_length_c 10.431
_cell_angle_alpha 90.00
_cell_angle_beta 90.00
_cell_angle_gamma 90.00
_symmetry_space_group_name_H-M 'P 4/m m m'
_symmetry_Int_Tables_number 123
_symmetry_space_group_name_Hall '-P 4 2'
loop_
_atom_site_label
_atom_site_fract_x
_atom_site_fract_y
_atom_site_fract_z
_atom_site_occupancy
Cr1 0.000 0.000 0.000 1
As1 0.000 0.000 0.336 1
As2 0.500 0.500 0.131 1
As3 0.500 0.500 0.500 1
```

***

Here is CrAs after structural relaxation from the Alexandria database. Energies are from PBE.

Results
Crystal system ... tetragonal
Theoretical density ... 6.58 g cm⁻³
Total energy ... -6.96 eV/atom
Magnetization ... 3.27 μB/f.u.

Geometry as CIF:
```
data_CrAs
_chemical_formula_sum 'Cr4 As4'
_cell_length_a 3.704
_cell_length_b 3.704
_cell_length_c 9.337
_cell_angle_alpha 90.00
_cell_angle_beta 90.00
_cell_angle_gamma 90.00
_symmetry_space_group_name_H-M 'I 41/a m d'
_symmetry_Int_Tables_number 141
loop_
_symmetry_equiv_pos_as_xyz
'x,y,z'
'-x,-y,-z'
'-y+1/4,x+3/4,z+1/4'
'y+1/4,-x+3/4,-z+1/4'
'-x+1/2,-y,z+1/2'
'x+1/2,y,-z+1/2'
'y+1/4,-x+1/4,z+3/4'
'-y+1/4,x+1/4,-z+3/4'
'x,-y,-z'
'-x,y,z'
'-y+1/4,-x+1/4,-z+3/4'
'y+1/4,x+1/4,z+3/4'
'-x+1/2,y,-z+1/2'
'x+1/2,-y,z+1/2'
'y+1/4,x+3/4,-z+1/4'
'-y+1/4,-x+3/4,z+1/4'
'x+1/2,y+1/2,z+1/2'
'-x+1/2,-y+1/2,-z+1/2'
'-y+3/4,x+1/4,z+3/4'
'y+3/4,-x+1/4,-z+3/4'
'-x,-y+1/2,z'
'x,y+1/2,-z'
'y+3/4,-x+3/4,z+1/4'
'-y+3/4,x+3/4,-z+1/4'
'x+1/2,-y+1/2,-z+1/2'
'-x+1/2,y+1/2,z+1/2'
'-y+3/4,-x+3/4,-z+1/4'
'y+3/4,x+3/4,z+1/4'
'-x,y+1/2,-z'
'x,-y+1/2,z'
'y+3/4,x+1/4,-z+3/4'
'-y+3/4,-x+1/4,z+3/4'
loop_
_atom_site_label
_atom_site_fract_x
_atom_site_fract_y
_atom_site_fract_z
_atom_site_occupancy
Cr1 0.000 0.250 0.375 1
As1 0.000 0.250 0.875 1
```

***

Here is CrAs3 after structural relaxation from the Alexandria database. Energies are from PBE.

Results
Crystal system ... monoclinic
E above lowest polymorph ... 1.17 eV/f.u.
Theoretical density ... 6.51 g cm⁻³
Total energy ... -5.61 eV/atom
Magnetization ... 1.81 μB/f.u.

Geometry as CIF:
```
data_CrAs3
_chemical_formula_sum 'Cr2 As6'
_cell_length_a 8.898
_cell_length_b 3.100
_cell_length_c 5.203
_cell_angle_alpha 90.00
_cell_angle_beta 100.33
_cell_angle_gamma 90.00
_symmetry_space_group_name_H-M 'C 1 2/m 1'
_symmetry_Int_Tables_number 12
_symmetry_space_group_name_Hall '-C 2y'
loop_
_atom_site_label
_atom_site_fract_x
_atom_site_fract_y
_atom_site_fract_z
_atom_site_occupancy
Cr1 0.000 0.000 0.000 1
As1 0.000 0.500 0.500 1
As2 0.212 0.500 0.203 1
```

***

Here is CrAs7 after structural relaxation from the Alexandria database. Energies are from PBE.

Results
Crystal system ... cubic
Theoretical density ... 6.39 g cm⁻³
Total energy ... -4.81 eV/atom
Magnetization ... 3.42 μB/f.u.

Geometry as CIF:
```
data_CrAs7
_chemical_formula_sum 'Cr4 As28'
_cell_length_a 8.431
_cell_length_b 8.431
_cell_length_c 8.431
_cell_angle_alpha 90.00
_cell_angle_beta 90.00
_cell_angle_gamma 90.00
_symmetry_space_group_name_H-M 'F m -3 m'
_symmetry_Int_Tables_number 225
_symmetry_space_group_name_Hall '-F 4 2 3'
loop_
_atom_site_label
_atom_site_fract_x
_atom_site_fract_y
_atom_site_fract_z
_atom_site_occupancy
Cr1 0.000 0.000 0.000 1
As1 0.000 0.000 0.500 1
As2 0.000 0.250 0.250 1
```